Entry 1:
{"formula": "CaUPt4", "functional": "PBE", "state": "optimized geometry", "lattice": [[-0.3433, -4.7233, -2.6705], [4.0057, -1.5305, -3.3424], [3.2497, -4.1386, 1.3678]], "species": ["Pt", "Pt", "Pt", "Pt", "U", "Ca"], "frac_coords": [[0.6248, 0.6248, 0.6248], [0.6248, 0.1255, 0.6248], [0.1255, 0.6248, 0.6248], [0.6248, 0.6248, 0.1255], [0.0000, 0.0000, 0.0000], [0.2500, 0.2500, 0.2500]], "ef_ev_per_atom": -0.77, "dos_ef_per_ev_atom": 1.2574, "energy_ha_per_atom": -0.25769, "spacegroup": "F-43m (216)"}



Entry 2:
{"formula": "ScMo2P", "functional": "PBE", "state": "optimized geometry", "lattice": [[1.6168, -4.7572, 0.0000], [1.6168, 4.7572, 0.0000], [0.0000, 0.0000, 4.2582]], "species": ["Mo", "Mo", "Sc", "P"], "frac_coords": [[0.3373, 0.6627, 0.5000], [0.8840, 0.1160, 0.0000], [0.6017, 0.3983, 0.5000], [0.1754, 0.8246, 0.0000]], "ef_ev_per_atom": -0.32, "dos_ef_per_ev_atom": 0.4633, "energy_ha_per_atom": -0.31876, "spacegroup": "Amm2 (38)"}



Entry 3:
{"formula": "CeThCuAu", "functional": "PBE", "state": "optimized geometry", "lattice": [[-0.5519, 4.1192, -3.0377], [-3.1141, -0.2191, -4.0932], [-4.4320, 2.6188, -0.0055]], "species": ["Th", "Ce", "Au", "Cu"], "frac_coords": [[0.5000, 0.5000, 0.5000], [0.0000, 0.0000, 0.0000], [0.2500, 0.2500, 0.2500], [0.7500, 0.7500, 0.7500]], "ef_ev_per_atom": -0.28, "dos_ef_per_ev_atom": 1.8871, "energy_ha_per_atom": -0.20087, "spacegroup": "F-43m (216)"}



Entry 4:
{"formula": "PmU3Pd4S12", "functional": "PBE", "state": "optimized geometry", "lattice": [[-2.9050, -4.6604, -6.2719], [-3.6408, -2.9190, 6.9078], [-3.1140, 7.6417, -1.1835]], "species": ["Pd", "Pd", "Pd", "Pd", "U", "U", "U", "S", "S", "S", "S", "S", "S", "S", "S", "S", "S", "S", "S", "Pm"], "frac_coords": [[0.5000, 0.5000, 0.5000], [0.0907, 0.5000, 0.9093], [0.9093, 0.0907, 0.5000], [0.5000, 0.9093, 0.0907], [0.4358, 0.0000, 0.5642], [0.0000, 0.5642, 0.4358], [0.5642, 0.4358, 0.0000], [0.6838, 0.7639, 0.0170], [0.3321, 0.6679, 0.5000], [0.3162, 0.9830, 0.2361], [0.6679, 0.5000, 0.3321], [0.5000, 0.3321, 0.6679], [0.5000, 0.0887, 0.9113], [0.7639, 0.0170, 0.6838], [0.0887, 0.9113, 0.5000], [0.9830, 0.2361, 0.3162], [0.2361, 0.3162, 0.9830], [0.9113, 0.5000, 0.0887], [0.0170, 0.6838, 0.7639], [0.0000, 0.0000, 0.0000]], "raw_formation_energy_ev_per_atom": -0.789, "dos_ef_per_ev_atom": 0.6255, "energy_ha_per_atom": -0.22912, "spacegroup": "R32 (155)"}



Entry 5:
{"formula": "CeBe2SiRh4", "functional": "PBE", "state": "optimized geometry", "lattice": [[4.0477, 0.0000, 0.0000], [2.0238, 3.5054, 0.0000], [2.0238, 1.1685, 8.0263]], "species": ["Si", "Be", "Be", "Rh", "Rh", "Rh", "Rh", "Ce"], "frac_coords": [[0.5000, 0.5000, 0.5000], [0.7642, 0.7642, 0.7074], [0.2358, 0.2358, 0.2926], [0.1322, 0.1322, 0.6033], [0.6002, 0.6002, 0.1994], [0.3998, 0.3998, 0.8006], [0.8678, 0.8678, 0.3967], [0.0000, 0.0000, 0.0000]], "raw_formation_energy_ev_per_atom": -0.694, "dos_ef_per_ev_atom": 0.5797, "energy_ha_per_atom": -0.24698, "spacegroup": "R-3m (166)"}



Entry 6:
{"formula": "SrLiZr2", "functional": "PBE", "state": "optimized geometry", "lattice": [[-3.3725, 0.7394, -0.1735], [-0.6988, -3.3302, -0.6101], [-0.7423, -1.3971, 8.4756]], "species": ["Zr", "Zr", "Li", "Sr"], "frac_coords": [[0.0000, 0.0000, 0.4244], [0.0000, 0.0000, 0.0756], [0.5000, 0.5000, 0.2500], [0.5000, 0.5000, 0.7500]], "ef_ev_per_atom": 0.48, "dos_ef_per_ev_atom": 1.0435, "energy_ha_per_atom": -0.17243, "spacegroup": "P4/mmm (123)"}



Entry 7:
{"formula": "Dy2GaHg2", "functional": "PBE", "state": "optimized geometry", "lattice": [[3.4198, 0.0000, 0.0000], [0.0000, 3.4320, 0.6503], [0.0000, -0.2229, 10.5580]], "species": ["Dy", "Dy", "Hg", "Hg", "Ga"], "frac_coords": [[0.5000, 0.5909, 0.8183], [0.5000, 0.4091, 0.1817], [0.0000, 0.8090, 0.3820], [0.0000, 0.1910, 0.6180], [0.0000, 0.0000, 0.0000]], "ef_ev_per_atom": -0.40, "dos_ef_per_ev_atom": 0.6510, "energy_ha_per_atom": -0.10895, "spacegroup": "Cmmm (65)"}



Entry 8:
{"formula": "TaAgW2", "functional": "PBE", "state": "optimized geometry", "lattice": [[10.1227, -0.0115, -0.0067], [9.7317, 2.7861, -0.0067], [9.7317, 1.3599, 2.4316]], "species": ["W", "W", "Ta", "Ag"], "frac_coords": [[0.9995, 0.9995, 0.9995], [0.5005, 0.5005, 0.5005], [0.7500, 0.7500, 0.7500], [0.2500, 0.2500, 0.2500]], "ef_ev_per_atom": 0.50, "dos_ef_per_ev_atom": 1.1639, "energy_ha_per_atom": -0.35472, "spacegroup": "R-3m (166)"}



Entry 9:
{"formula": "CaPSe", "functional": "PBE", "state": "optimized geometry", "lattice": [[10.3022, 0.0000, -0.0075], [0.0000, 3.8475, 0.0000], [-1.4936, 0.0000, 7.3580]], "species": ["Se", "Se", "Se", "Se", "P", "P", "P", "P", "Ca", "Ca", "Ca", "Ca"], "frac_coords": [[0.1300, 0.5000, 0.4951], [0.1300, 0.0000, 0.9951], [0.7791, 0.0000, 0.9146], [0.7791, 0.5000, 0.4146], [0.4326, 0.5000, 0.9601], [0.4326, 0.0000, 0.4601], [0.3105, 0.5000, 0.3507], [0.3105, 0.0000, 0.8507], [0.9618, 0.5000, 0.1321], [0.9618, 0.0000, 0.6321], [0.6069, 0.5000, 0.6926], [0.6069, 0.0000, 0.1926]], "raw_formation_energy_ev_per_atom": -0.995, "dos_ef_per_ev_atom": 0.1761, "energy_ha_per_atom": -0.17003, "spacegroup": "Cm (8)"}



Entry 10:
{"formula": "Rb3CeNd2S6", "functional": "PBE", "state": "optimized geometry", "lattice": [[7.3373, -0.0010, 0.0003], [-3.6677, 6.3549, 0.0003], [-1.2236, -2.1186, 7.7004]], "species": ["Nd", "Nd", "S", "S", "S", "S", "S", "S", "Rb", "Rb", "Rb", "Ce"], "frac_coords": [[0.6666, 0.3334, 0.0000], [0.3334, 0.6666, 0.0000], [0.6013, 0.9344, 0.8033], [0.0656, 0.3987, 0.1967], [0.2675, 0.2675, 0.8032], [0.7325, 0.7325, 0.1968], [0.3987, 0.0656, 0.1967], [0.9344, 0.6013, 0.8033], [0.5000, 0.5000, 0.5000], [0.1670, 0.8330, 0.5000], [0.8330, 0.1670, 0.5000], [0.0000, 0.0000, 0.0000]], "raw_formation_energy_ev_per_atom": -1.803, "dos_ef_per_ev_atom": 0.3921, "energy_ha_per_atom": -0.19838, "spacegroup": "C2/m (12)"}



Entry 11:
{"formula": "YAsOsSe2", "functional": "PBE", "state": "optimized geometry", "lattice": [[-4.4069, 1.5724, 2.1273], [-2.6174, -3.1909, -3.0635], [0.3386, -3.2757, 3.1227]], "species": ["Y", "Se", "Se", "Os", "As"], "frac_coords": [[0.5000, 0.5000, 0.5000], [0.5000, 0.0000, 0.0000], [0.0000, 0.5000, 0.0000], [0.0000, 0.0000, 0.0000], [0.0000, 0.0000, 0.5000]], "raw_formation_energy_ev_per_atom": -0.050, "dos_ef_per_ev_atom": 0.7917, "energy_ha_per_atom": -0.21727, "spacegroup": "P4/mmm (123)"}



Entry 12:
{"formula": "FeS", "functional": "PBE", "state": "optimized geometry", "lattice": [[-1.7433, 0.6957, 2.7713], [0.1891, -3.1516, -1.1112], [4.3460, -0.7714, 2.9277]], "species": ["Fe", "Fe", "S", "S"], "frac_coords": [[0.0000, 0.0000, 0.0000], [0.0000, 0.0000, 0.5000], [0.3333, 0.6667, 0.2668], [0.6667, 0.3333, 0.7332]], "raw_formation_energy_ev_per_atom": -0.234, "dos_ef_per_ev_atom": 1.1318, "energy_ha_per_atom": -0.23994, "spacegroup": "P-3m1 (164)"}



Entry 13:
{"formula": "Hf2VGa", "functional": "PBE", "state": "optimized geometry", "lattice": [[3.3825, 0.0000, 0.0000], [0.0000, 3.3825, 0.0000], [0.0000, 0.0000, 6.3728]], "species": ["Hf", "Hf", "Ga", "V"], "frac_coords": [[0.0000, 0.0000, 0.2420], [0.0000, 0.0000, 0.7580], [0.5000, 0.5000, 0.5000], [0.5000, 0.5000, 0.0000]], "ef_ev_per_atom": -0.20, "dos_ef_per_ev_atom": 1.0814, "energy_ha_per_atom": -0.30175, "spacegroup": "P4/mmm (123)"}



Entry 14:
{"formula": "Ho3Ni6Ge5", "functional": "PBE", "state": "optimized geometry", "lattice": [[3.9849, 0.0000, 0.0000], [0.0000, 9.2020, 0.0000], [0.0000, 0.0000, 12.1758]], "species": ["Ge", "Ge", "Ge", "Ge", "Ge", "Ge", "Ge", "Ge", "Ge", "Ge", "Ni", "Ni", "Ni", "Ni", "Ni", "Ni", "Ni", "Ni", "Ni", "Ni", "Ni", "Ni", "Ho", "Ho", "Ho", "Ho", "Ho", "Ho"], "frac_coords": [[0.0000, 0.8554, 0.3340], [0.5000, 0.4732, 0.6186], [0.0000, 0.5268, 0.8814], [0.5000, 0.1446, 0.1660], [0.5000, 0.4732, 0.3814], [0.5000, 0.1446, 0.8340], [0.0000, 0.8520, 0.0000], [0.0000, 0.5268, 0.1186], [0.5000, 0.1480, 0.5000], [0.0000, 0.8554, 0.6660], [0.0000, 0.4947, 0.5000], [0.5000, 0.9985, 0.3332], [0.0000, 0.0015, 0.1668], [0.5000, 0.0004, 0.0000], [0.0000, 0.0015, 0.8332], [0.5000, 0.4088, 0.1905], [0.0000, 0.5912, 0.3095], [0.5000, 0.9985, 0.6668], [0.5000, 0.5053, 0.0000], [0.0000, 0.9996, 0.5000], [0.0000, 0.5912, 0.6905], [0.5000, 0.4088, 0.8095], [0.5000, 0.7556, 0.8280], [0.0000, 0.2479, 0.0000], [0.0000, 0.2444, 0.6720], [0.0000, 0.2444, 0.3280], [0.5000, 0.7556, 0.1720], [0.5000, 0.7521, 0.5000]], "ef_ev_per_atom": -0.67, "dos_ef_per_ev_atom": 0.6899, "energy_ha_per_atom": -0.21247, "spacegroup": "Pmmn (59)"}



Entry 15:
{"formula": "Y2CdAu6", "functional": "PBE", "state": "optimized geometry", "lattice": [[-4.8868, 0.2754, 1.8700], [-1.3500, -8.7007, -2.3352], [3.2990, 2.1316, 8.2190]], "species": ["Au", "Au", "Au", "Au", "Au", "Au", "Au", "Au", "Au", "Au", "Au", "Au", "Y", "Y", "Y", "Y", "Cd", "Cd"], "frac_coords": [[0.4992, 0.9932, 0.8338], [0.9990, 0.4933, 0.3337], [0.4990, 0.3337, 0.4933], [0.7413, 0.0897, 0.5898], [0.7587, 0.4102, 0.9103], [0.9992, 0.8338, 0.9932], [0.5008, 0.0068, 0.1662], [0.2587, 0.9103, 0.4102], [0.0008, 0.1662, 0.0068], [0.2413, 0.5898, 0.0897], [0.5010, 0.6663, 0.5067], [0.0010, 0.5067, 0.6663], [0.0001, 0.8398, 0.6601], [0.4999, 0.3399, 0.1602], [0.5001, 0.6601, 0.8398], [0.9999, 0.1602, 0.3399], [0.2500, 0.2499, 0.7501], [0.7500, 0.7501, 0.2499]], "ef_ev_per_atom": -0.59, "dos_ef_per_ev_atom": 0.5613, "energy_ha_per_atom": -0.15846, "spacegroup": "C2/m (12)"}



Entry 16:
{"formula": "NiAgSe2", "functional": "PBE", "state": "optimized geometry", "lattice": [[3.5925, 0.0136, 0.1197], [-0.0695, 6.1270, 1.2298], [1.5310, 0.6145, 7.4780]], "species": ["Se", "Se", "Se", "Se", "Ni", "Ni", "Ag", "Ag"], "frac_coords": [[0.5854, 0.6295, 0.5079], [0.2594, 0.9058, 0.1584], [0.7612, 0.4019, 0.1550], [0.0837, 0.1334, 0.5114], [0.1707, 0.5187, 0.3359], [0.6738, 0.0163, 0.3304], [0.4041, 0.5050, 0.8662], [0.4433, 0.0338, 0.8002]], "raw_formation_energy_ev_per_atom": -0.140, "dos_ef_per_ev_atom": 0.6588, "energy_ha_per_atom": -0.14849, "spacegroup": "P1 (1)"}



Entry 17:
{"formula": "AlFeRu2", "functional": "PBE", "state": "optimized geometry", "lattice": [[8.4801, -0.0163, -0.0095], [8.0403, 2.6956, -0.0095], [8.0403, 1.3040, 2.3592]], "species": ["Ru", "Ru", "Fe", "Al"], "frac_coords": [[0.4995, 0.4995, 0.4995], [0.0005, 0.0005, 0.0005], [0.7500, 0.7500, 0.7500], [0.2500, 0.2500, 0.2500]], "ef_ev_per_atom": -0.09, "dos_ef_per_ev_atom": 0.8641, "energy_ha_per_atom": -0.28570, "spacegroup": "R-3m (166)"}



Entry 18:
{"formula": "CaTl2Ir", "functional": "PBE", "state": "optimized geometry", "lattice": [[3.3450, 0.0000, 0.0000], [0.0000, 3.6149, 0.0000], [0.0000, 0.0000, 7.5551]], "species": ["Ca", "Tl", "Tl", "Ir"], "frac_coords": [[0.5000, 0.5000, 0.2500], [0.0000, 0.0000, 0.5391], [0.0000, 0.0000, 0.9609], [0.5000, 0.5000, 0.7500]], "ef_ev_per_atom": 0.06, "dos_ef_per_ev_atom": 0.5388, "energy_ha_per_atom": -0.14101, "spacegroup": "Pmmm (47)"}



Entry 19:
{"formula": "RbInSeF2", "functional": "PBE", "state": "optimized geometry", "lattice": [[4.6202, 0.0000, 0.0000], [0.0000, 4.6202, 0.0000], [0.0000, 0.0000, 5.1792]], "species": ["Rb", "Se", "F", "F", "In"], "frac_coords": [[0.5000, 0.5000, 0.5000], [0.0000, 0.0000, 0.5000], [0.0000, 0.5000, 0.0000], [0.5000, 0.0000, 0.0000], [0.0000, 0.0000, 0.0000]], "raw_formation_energy_ev_per_atom": -1.763, "dos_ef_per_ev_atom": 0.5185, "energy_ha_per_atom": -0.14514, "spacegroup": "P4/mmm (123)"}



Entry 20:
{"formula": "Er2ScGeC", "functional": "PBE", "state": "optimized geometry", "lattice": [[-1.7744, 3.9401, 1.1650], [0.6679, -1.0579, 4.5953], [4.3210, 1.9957, -0.1686]], "species": ["Er", "Er", "Ge", "C", "Sc"], "frac_coords": [[0.0000, 0.5000, 0.0000], [0.0000, 0.0000, 0.5000], [0.5000, 0.5000, 0.5000], [0.0000, 0.0000, 0.0000], [0.5000, 0.0000, 0.0000]], "ef_ev_per_atom": -0.62, "dos_ef_per_ev_atom": 0.4542, "energy_ha_per_atom": -0.23811, "spacegroup": "P4/mmm (123)"}



Entry 21:
{"formula": "TmLu3O", "functional": "PBE", "state": "optimized geometry", "lattice": [[4.8207, 0.0000, 0.0000], [0.0000, 4.8207, 0.0000], [0.0000, 0.0000, 4.8207]], "species": ["Lu", "Lu", "Lu", "O", "Tm"], "frac_coords": [[0.0000, 0.5000, 0.0000], [0.5000, 0.0000, 0.0000], [0.0000, 0.0000, 0.5000], [0.0000, 0.0000, 0.0000], [0.5000, 0.5000, 0.5000]], "raw_formation_energy_ev_per_atom": -1.080, "dos_ef_per_ev_atom": 1.0002, "energy_ha_per_atom": -0.20868, "spacegroup": "Pm-3m (221)"}



Entry 22:
{"formula": "ZnHgBi2", "functional": "PBE", "state": "optimized geometry", "lattice": [[4.1886, 0.0000, 0.0000], [2.0943, 3.6274, 0.0000], [2.0943, 1.2091, 7.3625]], "species": ["Hg", "Bi", "Bi", "Zn"], "frac_coords": [[0.5000, 0.5000, 0.5000], [0.7373, 0.7373, 0.7882], [0.2627, 0.2627, 0.2118], [0.0000, 0.0000, 0.0000]], "ef_ev_per_atom": 0.15, "dos_ef_per_ev_atom": 0.4801, "energy_ha_per_atom": -0.08039, "spacegroup": "R-3m (166)"}



Entry 23:
{"formula": "TiRh3Au", "functional": "PBE", "state": "optimized geometry", "lattice": [[-4.0271, 2.0189, 1.6392], [-1.9176, -4.3464, 0.6421], [1.7566, -0.1163, 4.4589]], "species": ["Rh", "Rh", "Rh", "Ti", "Au"], "frac_coords": [[0.0000, 0.5000, 0.0000], [0.5000, 0.0000, 0.0000], [0.0000, 0.0000, 0.5000], [0.5000, 0.5000, 0.5000], [0.0000, 0.0000, 0.0000]], "ef_ev_per_atom": 1.52, "dos_ef_per_ev_atom": 2.1152, "energy_ha_per_atom": -0.18821, "spacegroup": "Pm-3m (221)"}



Entry 24:
{"formula": "GdInGaNi", "functional": "PBE", "state": "optimized geometry", "lattice": [[-1.5679, -3.3987, 2.9781], [-1.0195, -4.3628, -1.6747], [2.8205, -3.7032, 1.0998]], "species": ["Gd", "Ga", "Ni", "In"], "frac_coords": [[0.0000, 0.0000, 0.0000], [0.7500, 0.7500, 0.7500], [0.2500, 0.2500, 0.2500], [0.5000, 0.5000, 0.5000]], "ef_ev_per_atom": -0.33, "dos_ef_per_ev_atom": 0.7594, "energy_ha_per_atom": -0.24774, "spacegroup": "F-43m (216)"}



Entry 25:
{"formula": "LaNiC2", "functional": "PBE", "state": "optimized geometry", "lattice": [[3.8246, 0.0030, 0.0000], [-1.0988, 3.6634, 0.0000], [0.0000, 0.0000, 3.9878]], "species": ["Ni", "La", "C", "C"], "frac_coords": [[0.6128, 0.3872, 0.5000], [0.9998, 0.0002, 0.0000], [0.4505, 0.8480, 0.5000], [0.1520, 0.5495, 0.5000]], "ef_ev_per_atom": -0.25, "dos_ef_per_ev_atom": 0.5379, "energy_ha_per_atom": -0.27723, "spacegroup": "Amm2 (38)"}